1.
5
Lattice="-2.590 -0.871 -0.198 1.056 -3.459 1.404 -0.473 4.396 5.828" Properties=species:S:1:pos:R:3 comment="IrRu2Pt2 | Alexandria via LeMat-Bulk | PBE | optimized geometry" formation_enthalpy_0k_ev_per_atom=-0.0087 pbc="T T T"
Ir -0.767 -2.165 0.603
Ru -0.235 0.422 1.217
Ru -1.773 -0.356 5.817
Pt -1.256 -1.288 3.132
Pt -0.752 1.354 3.902

=====

2.
4
Lattice="-3.064 -1.477 -0.364 0.656 -0.545 -3.313 3.173 -7.022 1.784" Properties=species:S:1:pos:R:3 comment="TaZnTe2 | Alexandria via LeMat-Bulk | PBE | optimized geometry" e_tot_ev_per_atom=-4.80 pbc="T T T"
Ta 1.176 -6.278 -0.500
Te 3.053 -6.757 1.717
Te 1.706 -3.776 0.959
Zn -0.411 -2.767 -1.392

=====

3.
16
Lattice="3.092 0.000 0.000 -1.546 5.165 0.000 0.000 0.000 10.264" Properties=species:S:1:pos:R:3 comment="PaTi2BeN4 | Alexandria via LeMat-Bulk | PBE | optimized geometry" e_tot_ev_per_atom=-9.26 pbc="T T T"
Pa 0.000 1.052 7.698
Pa 1.546 4.114 2.566
Ti 0.000 3.837 5.626
Ti 1.546 1.328 0.494
Ti 1.546 1.328 4.638
Ti 0.000 3.837 9.770
Be 1.546 3.443 7.698
Be 0.000 1.723 2.566
N 0.000 2.745 1.226
N 1.546 2.421 6.358
N 1.546 2.421 9.038
N 0.000 2.745 3.906
N 0.000 0.000 5.132
N 0.000 0.000 0.000
N 0.000 4.357 7.698
N 1.546 0.808 2.566